(1)
Compound: SrGe2Au2
Source: Alexandria
Functional: PBEsol
Structure: optimized geometry

abc: 6.204 6.204 6.204
angles: 137.44 137.44 61.76
Element x y z (fractional)
1 Sr 0.000 0.000 0.000
2 Ge 0.250 0.750 0.500
3 Ge 0.750 0.250 0.500
4 Au 0.372 0.372 0.000
5 Au 0.628 0.628 0.000

uncorrected energy = -4.39 eV per atom
size of the total moment = 0.0 μB per formula unit
calculated volume = 21.59 A^3/atom
DOS(E_F) = 2.2 states/eV per cell
ΔE_f = -11.0 kcal/mol of atoms
SG = I4/mmm (139)

=====

(2)
Compound: SbSeSN2
Source: Alexandria
Functional: PBEsol
Structure: optimized geometry

abc: 3.837 3.837 4.752
angles: 90.00 90.00 90.00
Element x y z (fractional)
1 Sb 0.000 0.000 0.000
2 Se 0.500 0.500 0.000
3 S 0.500 0.500 0.500
4 N 0.000 0.500 0.500
5 N 0.500 0.000 0.500

uncorrected energy = -4.65 eV per atom
size of the total moment = 0.0 μB per formula unit
formation energy (no corrections) = 1318 meV per atom
calculated volume = 13.99 A^3/atom
DOS(E_F) = 2.7 states/eV per cell
SG = P4/mmm (123)

=====

(3)
Compound: KBeSe2
Source: Alexandria
Functional: PBEsol
Structure: optimized geometry

abc: 3.556 4.862 5.908
angles: 90.00 90.00 90.00
Element x y z (fractional)
1 K 0.000 0.000 0.000
2 Be 0.000 0.500 0.500
3 Se 0.500 0.500 0.254
4 Se 0.500 0.500 0.746

uncorrected energy = -3.81 eV per atom
size of the total moment = 0.0 μB per formula unit
formation energy (no corrections) = -598 meV per atom
calculated volume = 25.54 A^3/atom
DOS(E_F) = 0.6 states/eV per cell
SG = Pmmm (47)